# 1
The following is a DFT calculation (GGA-PBEsol) of an optimized crystal structure of Ti3Rh5.

The value obtained for the uncorrected energy is -71.80 eV per formula unit.

The structure belongs to space group Pbam (No. 55); the cell edges are 5.3410, 10.3863 and 4.0547 Å and the angles 90.00°, 90.00° and 90.00°. The asymmetric unit holds Ti at (0.0000, 0.0000, 0.0000), Ti at (0.1634, 0.3563, 0.5000), Rh at (0.0000, 0.5000, 0.0000), Rh at (0.0967, 0.7621, 0.0000) and Rh at (0.1882, 0.1074, 0.5000).

---

# 2
The following is a DFT calculation (GGA-PBEsol) of an optimized crystal structure of YTiRh2.

The value obtained for the uncorrected energy is -33.97 eV per formula unit.

The structure belongs to space group Fm-3m (No. 225); the cell edges are 6.4458, 6.4458 and 6.4458 Å and the angles 90.00°, 90.00° and 90.00°. The asymmetric unit holds Y at (0.0000, 0.0000, 0.0000), Ti at (0.0000, 0.0000, 0.5000) and Rh at (0.2500, 0.2500, 0.2500).

---

# 3
The following is a DFT calculation (GGA-PBEsol) of an optimized crystal structure of YTi2Rh2.

The value obtained for the uncorrected energy is -42.90 eV per formula unit.

The structure belongs to space group I4/mmm (No. 139); the cell edges are 4.1898, 4.1898 and 10.5205 Å and the angles 90.00°, 90.00° and 90.00°. The asymmetric unit holds Y at (0.0000, 0.0000, 0.0000), Ti at (0.0000, 0.5000, 0.2500) and Rh at (0.0000, 0.0000, 0.3782).

---

# 4
The following is a DFT calculation (GGA-PBEsol) of an optimized crystal structure of YTi3Rh.

The value obtained for the uncorrected energy is -32.11 eV per formula unit.

The structure belongs to space group Pm-3m (No. 221); the cell edges are 4.5416, 4.5416 and 4.5416 Å and the angles 90.00°, 90.00° and 90.00°. The asymmetric unit holds Y at (0.0000, 0.0000, 0.0000), Ti at (0.0000, 0.0000, 0.5000) and Rh at (0.5000, 0.5000, 0.5000).

---

no.,calculated formation energy (eV per atom)
1,-0.77
2,-0.64
3,-0.63
4,1.56